1.
Entry from Alexandria: a geometry-optimized SmReB4 structure (PBE).

Cell lengths 6.040, 11.690, 3.659 Å; angles 90.00, 90.00, 90.00 degrees
Space group Pbam (No. 55)
Inequivalent atoms, fractional coordinates:
Sm1 0.125 0.150 0.000 (multiplicity 4)
Re1 0.130 0.413 0.000 (multiplicity 4)
B1 0.024 0.691 0.500 (multiplicity 4)
B2 0.113 0.546 0.500 (multiplicity 4)
B3 0.139 0.968 0.500 (multiplicity 4)
B4 0.216 0.816 0.500 (multiplicity 4)

Results
E_form, eV/atom: -0.53
Mass density, g/cm³: 9.76
Distance to the lowest polymorph of the same formula, meV/atom: 0.0
Total DFT energy (no corrections), eV/atom: -7.84

=====

2.
Entry from Alexandria: a geometry-optimized SmReB4 structure (PBE).

Cell lengths 3.174, 5.438, 7.281 Å; angles 90.00, 90.00, 90.00 degrees
Space group Immm (No. 71)
Inequivalent atoms, fractional coordinates:
Sm1 0.000 0.000 0.000 (multiplicity 2)
Re1 0.000 0.000 0.500 (multiplicity 2)
B1 0.000 0.337 0.247 (multiplicity 8)

Results
E_form, eV/atom: -0.11
Mass density, g/cm³: 10.04
Distance to the lowest polymorph of the same formula, meV/atom: 422.9
Total DFT energy (no corrections), eV/atom: -7.42

=====

3.
Entry from Alexandria: a geometry-optimized SmRe3B3 structure (PBE).

Cell lengths 8.3441, 8.3441, 3.0319 Å; angles 90.00, 90.00, 120.00 degrees
Space group P6_3/m (No. 176)
Inequivalent atoms, fractional coordinates:
Sm1 0.3333 0.6667 0.2500 (multiplicity 2)
Re1 0.0436 0.2950 0.7500 (multiplicity 6)
B1 0.0328 0.5601 0.7500 (multiplicity 6)

Results
E_form, eV/atom: -0.18
Mass density, g/cm³: 13.47
Total DFT energy (no corrections), eV/atom: -9.05

=====

4.
Entry from Alexandria: a geometry-optimized Sm3Re3B8 structure (PBE).

Cell lengths 3.145, 9.384, 12.719 Å; angles 90.00, 90.00, 90.00 degrees
Space group Immm (No. 71)
Inequivalent atoms, fractional coordinates:
Sm1 0.000 0.000 0.000 (multiplicity 2)
Sm2 0.000 0.000 0.280 (multiplicity 4)
Re1 0.000 0.216 0.500 (multiplicity 4)
Re2 0.000 0.500 0.000 (multiplicity 2)
B1 0.000 0.237 0.130 (multiplicity 8)
B2 0.000 0.323 0.349 (multiplicity 8)

Results
E_form, eV/atom: -0.09
Mass density, g/cm³: 9.70
Total DFT energy (no corrections), eV/atom: -7.59

=====

5.
Entry from Alexandria: a geometry-optimized Sm3ReB7 structure (PBE).

Cell lengths 3.600, 16.182, 9.506 Å; angles 90.00, 90.00, 90.00 degrees
Space group Cmcm (No. 63)
Inequivalent atoms, fractional coordinates:
Sm1 0.000 0.105 0.061 (multiplicity 8)
Sm2 0.000 0.242 0.750 (multiplicity 4)
Re1 0.000 0.055 0.750 (multiplicity 4)
B1 0.000 0.274 0.032 (multiplicity 8)
B2 0.000 0.368 0.151 (multiplicity 8)
B3 0.000 0.463 0.750 (multiplicity 4)
B4 0.000 0.477 0.097 (multiplicity 8)

Results
E_form, eV/atom: -0.49
Mass density, g/cm³: 8.55
Total DFT energy (no corrections), eV/atom: -7.16

=====

6.
Entry from Alexandria: a geometry-optimized SmReB2 structure (PBE).

Cell lengths 3.4162, 3.4162, 16.9353 Å; angles 90.00, 90.00, 120.00 degrees
Space group R-3m (No. 166, hexagonal axes)
Inequivalent atoms, fractional coordinates:
Sm1 0.0000 0.0000 0.0000 (multiplicity 3)
Re1 0.0000 0.0000 0.5000 (multiplicity 3)
B1 0.0000 0.0000 0.2274 (multiplicity 6)

Results
E_form, eV/atom: -0.01
Mass density, g/cm³: 10.43
Total DFT energy (no corrections), eV/atom: -7.64

=====

7.
Entry from Alexandria: a geometry-optimized Re2SnB structure (PBE).

Cell lengths 4.117, 4.117, 16.421 Å; angles 90.00, 90.00, 90.00 degrees
Space group I-42d (No. 122)
Inequivalent atoms, fractional coordinates:
Re1 0.151 0.250 0.125 (multiplicity 8)
Sn1 0.000 0.000 0.500 (multiplicity 4)
B1 0.000 0.000 0.000 (multiplicity 4)

Results
E_form, eV/atom: 0.90
Mass density, g/cm³: 11.98
Distance to the lowest polymorph of the same formula, meV/atom: 0.0
Total DFT energy (no corrections), eV/atom: -8.00

=====

8.
Entry from Alexandria: a geometry-optimized ReSnB3 structure (PBE).

Cell lengths 4.277, 4.277, 4.277 Å; angles 90.00, 90.00, 90.00 degrees
Space group Pm-3m (No. 221)
Inequivalent atoms, fractional coordinates:
Re1 0.000 0.000 0.000 (multiplicity 1)
Sn1 0.500 0.500 0.500 (multiplicity 1)
B1 0.000 0.500 0.500 (multiplicity 3)

Results
E_form, eV/atom: 2.97
Mass density, g/cm³: 7.16
Distance to the lowest polymorph of the same formula, meV/atom: 2026.2
Total DFT energy (no corrections), eV/atom: -4.33

=====

9.
Entry from Alexandria: a geometry-optimized Re3SnB structure (PBE).

Cell lengths 4.202, 4.202, 4.202 Å; angles 90.00, 90.00, 90.00 degrees
Space group Pm-3m (No. 221)
Inequivalent atoms, fractional coordinates:
Re1 0.000 0.000 0.500 (multiplicity 3)
Sn1 0.500 0.500 0.500 (multiplicity 1)
B1 0.000 0.000 0.000 (multiplicity 1)

Results
E_form, eV/atom: 0.44
Mass density, g/cm³: 15.41
Distance to the lowest polymorph of the same formula, meV/atom: 0.0
Total DFT energy (no corrections), eV/atom: -9.17

=====

10.
Entry from Alexandria: a geometry-optimized ReSnB3 structure (PBE).

Cell lengths 4.225, 4.225, 4.225 Å; angles 90.00, 90.00, 90.00 degrees
Space group Pm-3m (No. 221)
Inequivalent atoms, fractional coordinates:
Re1 0.000 0.000 0.000 (multiplicity 1)
Sn1 0.500 0.500 0.500 (multiplicity 1)
B1 0.000 0.000 0.500 (multiplicity 3)

Results
E_form, eV/atom: 0.94
Mass density, g/cm³: 7.43
Distance to the lowest polymorph of the same formula, meV/atom: 0.0
Total DFT energy (no corrections), eV/atom: -6.35

=====

11.
Entry from Alexandria: a geometry-optimized Re2SnB structure (PBE).

Cell lengths 6.136, 6.136, 6.136 Å; angles 90.00, 90.00, 90.00 degrees
Space group Fm-3m (No. 225)
Inequivalent atoms, fractional coordinates:
Re1 0.250 0.250 0.250 (multiplicity 8)
Sn1 0.000 0.000 0.000 (multiplicity 4)
B1 0.000 0.000 0.500 (multiplicity 4)

Results
E_form, eV/atom: 1.04
Mass density, g/cm³: 14.43
Distance to the lowest polymorph of the same formula, meV/atom: 145.7
Total DFT energy (no corrections), eV/atom: -7.85

=====

12.
Entry from Alexandria: a geometry-optimized Re3SnB structure (PBE).

Cell lengths 4.889, 4.889, 4.889 Å; angles 90.00, 90.00, 90.00 degrees
Space group Pm-3m (No. 221)
Inequivalent atoms, fractional coordinates:
Re1 0.000 0.000 0.500 (multiplicity 3)
Sn1 0.000 0.000 0.000 (multiplicity 1)
B1 0.500 0.500 0.500 (multiplicity 1)

Results
E_form, eV/atom: 3.79
Mass density, g/cm³: 9.78
Distance to the lowest polymorph of the same formula, meV/atom: 3351.7
Total DFT energy (no corrections), eV/atom: -5.82

=====

13.
Entry from Alexandria: a geometry-optimized VRe2SnB structure (PBE).

Cell lengths 4.104, 4.104, 4.561 Å; angles 90.00, 90.00, 90.00 degrees
Space group P4/mmm (No. 123)
Inequivalent atoms, fractional coordinates:
V1 0.000 0.000 0.000 (multiplicity 1)
Re1 0.000 0.500 0.500 (multiplicity 2)
Sn1 0.500 0.500 0.000 (multiplicity 1)
B1 0.500 0.500 0.500 (multiplicity 1)

Results
E_form, eV/atom: 0.72
Mass density, g/cm³: 11.95
Total DFT energy (no corrections), eV/atom: -8.22

=====

14.
Entry from Alexandria: a geometry-optimized Zr2ReSnB structure (PBE).

Cell lengths 4.629, 4.629, 4.266 Å; angles 90.00, 90.00, 90.00 degrees
Space group P4/mmm (No. 123)
Inequivalent atoms, fractional coordinates:
Zr1 0.000 0.500 0.000 (multiplicity 2)
Re1 0.000 0.000 0.500 (multiplicity 1)
Sn1 0.500 0.500 0.500 (multiplicity 1)
B1 0.500 0.500 0.000 (multiplicity 1)

Results
E_form, eV/atom: 0.30
Mass density, g/cm³: 9.05
Total DFT energy (no corrections), eV/atom: -7.74

=====

15.
Entry from Alexandria: a geometry-optimized SrReB3 structure (PBE).

Cell lengths 4.229, 4.229, 4.229 Å; angles 90.00, 90.00, 90.00 degrees
Space group Pm-3m (No. 221)
Inequivalent atoms, fractional coordinates:
Sr1 0.000 0.000 0.000 (multiplicity 1)
Re1 0.500 0.500 0.500 (multiplicity 1)
B1 0.000 0.500 0.500 (multiplicity 3)

Results
E_form, eV/atom: 0.19
Mass density, g/cm³: 6.72
Distance to the lowest polymorph of the same formula, meV/atom: 0.0
Total DFT energy (no corrections), eV/atom: -6.64

=====

16.
Entry from Alexandria: a geometry-optimized Sr3ReB structure (PBE).

Cell lengths 5.490, 5.490, 5.490 Å; angles 90.00, 90.00, 90.00 degrees
Space group Pm-3m (No. 221)
Inequivalent atoms, fractional coordinates:
Sr1 0.000 0.000 0.500 (multiplicity 3)
Re1 0.500 0.500 0.500 (multiplicity 1)
B1 0.000 0.000 0.000 (multiplicity 1)

Results
E_form, eV/atom: 1.26
Mass density, g/cm³: 4.61
Distance to the lowest polymorph of the same formula, meV/atom: 0.0
Total DFT energy (no corrections), eV/atom: -3.57

=====

17.
Entry from Alexandria: a geometry-optimized SrReB3 structure (PBE).

Cell lengths 4.241, 4.241, 4.241 Å; angles 90.00, 90.00, 90.00 degrees
Space group Pm-3m (No. 221)
Inequivalent atoms, fractional coordinates:
Sr1 0.000 0.000 0.000 (multiplicity 1)
Re1 0.500 0.500 0.500 (multiplicity 1)
B1 0.000 0.000 0.500 (multiplicity 3)

Results
E_form, eV/atom: 3.47
Mass density, g/cm³: 6.67
Distance to the lowest polymorph of the same formula, meV/atom: 3278.0
Total DFT energy (no corrections), eV/atom: -3.36

=====

18.
Entry from Alexandria: a geometry-optimized SrReB structure (PBE).

Cell lengths 4.075, 4.075, 8.964 Å; angles 90.00, 90.00, 90.00 degrees
Space group P4/nmm (No. 129, origin choice 2)
Inequivalent atoms, fractional coordinates:
Sr1 0.250 0.250 0.207 (multiplicity 2)
Re1 0.250 0.750 0.500 (multiplicity 2)
B1 0.250 0.250 0.575 (multiplicity 2)

Results
E_form, eV/atom: -0.06
Mass density, g/cm³: 6.35
Total DFT energy (no corrections), eV/atom: -7.00

=====

19.
Entry from Alexandria: a geometry-optimized SrRe3B structure (PBE).

Cell lengths 4.837, 4.837, 4.837 Å; angles 90.00, 90.00, 90.00 degrees
Space group Pm-3m (No. 221)
Inequivalent atoms, fractional coordinates:
Sr1 0.000 0.000 0.000 (multiplicity 1)
Re1 0.000 0.000 0.500 (multiplicity 3)
B1 0.500 0.500 0.500 (multiplicity 1)

Results
E_form, eV/atom: 4.69
Mass density, g/cm³: 9.64
Distance to the lowest polymorph of the same formula, meV/atom: 3879.5
Total DFT energy (no corrections), eV/atom: -4.45

=====

20.
Entry from Alexandria: a geometry-optimized SrRe3B structure (PBE).

Cell lengths 4.340, 4.340, 4.340 Å; angles 90.00, 90.00, 90.00 degrees
Space group Pm-3m (No. 221)
Inequivalent atoms, fractional coordinates:
Sr1 0.000 0.000 0.000 (multiplicity 1)
Re1 0.000 0.500 0.500 (multiplicity 3)
B1 0.500 0.500 0.500 (multiplicity 1)

Results
E_form, eV/atom: 0.81
Mass density, g/cm³: 13.35
Distance to the lowest polymorph of the same formula, meV/atom: 0.0
Total DFT energy (no corrections), eV/atom: -8.33